Computed, not measured: crystalline KAsS3 at its relaxed geometry at the PBE level of DFT.

abc: 8.012 8.012 11.644
angles: 108.67 108.67 74.84
Positions (direct):
K (0.074, 0.926, 0.250)
K (0.926, 0.074, 0.750)
S (0.519, 0.148, 0.802)
S (0.222, 0.847, 0.573)
S (0.778, 0.153, 0.427)
S (0.153, 0.778, 0.927)
As (0.938, 0.643, 0.880)
S (0.481, 0.852, 0.198)
S (0.148, 0.519, 0.302)
K (0.558, 0.442, 0.250)
S (0.847, 0.222, 0.073)
As (0.357, 0.062, 0.620)
As (0.062, 0.357, 0.120)
As (0.643, 0.938, 0.380)
S (0.217, 0.297, 0.992)
S (0.783, 0.703, 0.008)
S (0.852, 0.481, 0.698)
S (0.703, 0.783, 0.508)
S (0.297, 0.217, 0.492)
K (0.442, 0.558, 0.750)

Properties
The space-group type is C2/c (15). The raw formation energy is -0.380 eV/atom. The value obtained for the spin magnetization is 0.0 μB/f.u.